(one)
{"formula": "Tl8SnBi2", "functional": "PBE-GGA", "state": "relaxed", "total_magnetization_mub_per_cell": 0.00, "dos_ef_per_ev_cell": 4.0, "lattice_angstrom": [[5.853, 0.441, 0.366], [0.708, 8.305, 0.000], [0.708, 1.519, 8.164]], "species": ["Tl", "Tl", "Tl", "Tl", "Tl", "Tl", "Tl", "Tl", "Bi", "Bi", "Sn"], "fractional_positions": [[0.790, 0.658, 0.182], [0.095, 0.742, 0.742], [0.314, 0.406, 0.406], [0.686, 0.594, 0.594], [0.790, 0.182, 0.658], [0.210, 0.342, 0.818], [0.905, 0.258, 0.258], [0.210, 0.818, 0.342], [0.536, 0.871, 0.871], [0.464, 0.129, 0.129], [0.000, 0.000, 0.000]]}

(two)
{"formula": "Tl8SnBi2", "functional": "PBE-GGA", "state": "relaxed", "total_magnetization_mub_per_cell": 0.00, "dos_ef_per_ev_cell": 3.7, "lattice_angstrom": [[-4.942, -1.884, -0.439], [1.133, -1.117, -7.978], [4.683, -6.230, 5.682]], "species": ["Bi", "Bi", "Tl", "Tl", "Tl", "Tl", "Tl", "Tl", "Tl", "Tl", "Sn"], "fractional_positions": [[0.475, 0.284, 0.586], [0.797, 0.607, 0.232], [0.944, 0.483, 0.523], [0.136, 0.518, 0.909], [0.752, 0.986, 0.142], [0.521, 0.754, 0.677], [0.297, 0.336, 0.229], [0.636, 0.217, 0.909], [0.976, 0.017, 0.589], [0.328, 0.868, 0.295], [0.136, 0.929, 0.909]]}

(two) comes first in stability; the runner-up is 8.0 kJ/mol of atoms higher.

(one)
{"formula": "Tl4SnBi", "functional": "PBE-GGA", "state": "relaxed", "total_magnetization_mub_per_cell": 0.00, "dos_ef_per_ev_cell": 5.0, "lattice_angstrom": [[-6.505, -1.474, 0.652], [3.958, 0.246, 5.438], [-0.749, 10.002, -1.999]], "species": ["Tl", "Tl", "Tl", "Tl", "Tl", "Tl", "Tl", "Tl", "Sn", "Sn", "Bi", "Bi"], "fractional_positions": [[0.714, 0.468, 0.432], [0.964, 0.219, 0.933], [0.286, 0.532, 0.568], [0.036, 0.781, 0.067], [0.469, 0.714, 0.933], [0.219, 0.964, 0.432], [0.781, 0.036, 0.568], [0.531, 0.286, 0.067], [0.375, 0.625, 0.250], [0.625, 0.375, 0.750], [0.125, 0.875, 0.750], [0.875, 0.125, 0.250]]}

(two)
{"formula": "Tl4SnBi", "functional": "PBE-GGA", "state": "relaxed", "total_magnetization_mub_per_cell": 0.00, "dos_ef_per_ev_cell": 3.2, "lattice_angstrom": [[6.456, 0.000, 0.000], [3.228, 5.591, 0.000], [3.228, 1.864, 5.271]], "species": ["Tl", "Tl", "Tl", "Tl", "Bi", "Sn"], "fractional_positions": [[0.125, 0.625, 0.625], [0.625, 0.625, 0.625], [0.625, 0.125, 0.625], [0.625, 0.625, 0.125], [0.250, 0.250, 0.250], [0.000, 0.000, 0.000]]}

(one) comes first in stability; the runner-up is 13.7 kJ/mol of atoms higher.

(one)
{"formula": "Tl6Sn2Bi", "functional": "PBE-GGA", "state": "relaxed", "total_magnetization_mub_per_cell": 0.00, "dos_ef_per_ev_cell": 4.0, "lattice_angstrom": [[7.904, 0.000, 0.084], [3.952, 4.964, 0.042], [0.657, 0.000, 8.249]], "species": ["Tl", "Tl", "Tl", "Tl", "Tl", "Tl", "Sn", "Sn", "Bi"], "fractional_positions": [[0.436, 0.614, 0.223], [0.389, 0.000, 0.848], [0.050, 0.386, 0.223], [0.564, 0.386, 0.777], [0.611, 0.000, 0.152], [0.950, 0.614, 0.777], [0.351, 0.297, 0.500], [0.649, 0.703, 0.500], [0.000, 0.000, 0.000]]}

(two)
{"formula": "Tl6Sn2Bi", "functional": "PBE-GGA", "state": "relaxed", "total_magnetization_mub_per_cell": 0.00, "dos_ef_per_ev_cell": 5.5, "lattice_angstrom": [[3.460, 0.000, 0.000], [-1.730, 2.996, 0.000], [0.000, 0.000, 27.232]], "species": ["Sn", "Sn", "Tl", "Tl", "Tl", "Tl", "Tl", "Tl", "Bi"], "fractional_positions": [[0.667, 0.333, 0.332], [0.667, 0.333, 0.668], [0.333, 0.667, 0.770], [0.667, 0.333, 0.110], [0.333, 0.667, 0.435], [0.333, 0.667, 0.565], [0.667, 0.333, 0.890], [0.333, 0.667, 0.230], [0.333, 0.667, 0.000]]}

(two) comes first in stability; the runner-up is 7.9 kJ/mol of atoms higher.